[1]
Material: Li3LaAg3
Method: DFT, PBE-GGA
State: relaxed

Lattice parameters (Å, degrees): 6.832 6.832 6.832 90.00 90.00 90.00
Fractional positions:
Li 0.000 0.250 0.500
Li 0.000 0.750 0.500
Li 0.250 0.500 0.000
Li 0.500 0.000 0.250
Li 0.500 0.000 0.750
Li 0.750 0.500 0.000
La 0.000 0.000 0.000
La 0.500 0.500 0.500
Ag 0.000 0.500 0.250
Ag 0.000 0.500 0.750
Ag 0.250 0.000 0.500
Ag 0.500 0.250 0.000
Ag 0.500 0.750 0.000
Ag 0.750 0.000 0.500



[2]
Material: Tb6ScTl2
Method: DFT, PBE-GGA
State: relaxed

Lattice parameters (Å, degrees): 9.506 9.506 6.101 93.95 93.95 74.06
Fractional positions:
Tb 0.079 0.810 0.991
Tb 0.147 0.407 0.163
Tb 0.190 0.921 0.509
Tb 0.241 0.528 0.684
Tb 0.407 0.147 0.663
Tb 0.472 0.759 0.816
Tb 0.528 0.241 0.184
Tb 0.593 0.853 0.337
Tb 0.759 0.472 0.316
Tb 0.810 0.079 0.491
Tb 0.853 0.593 0.837
Tb 0.921 0.190 0.009
Sc 0.400 0.600 0.250
Sc 0.600 0.400 0.750
Tl 0.042 0.280 0.583
Tl 0.280 0.042 0.083
Tl 0.720 0.958 0.917
Tl 0.958 0.720 0.417



[3]
Material: Ho8Er3Th2
Method: DFT, PBE-GGA
State: relaxed

Lattice parameters (Å, degrees): 6.111 7.877 17.662 79.90 89.95 75.23
Fractional positions:
Ho 0.075 0.265 0.038
Ho 0.114 0.657 0.306
Ho 0.195 0.421 0.846
Ho 0.266 0.190 0.386
Ho 0.306 0.581 0.654
Ho 0.344 0.964 0.924
Ho 0.381 0.351 0.192
Ho 0.417 0.735 0.463
Ho 0.583 0.265 0.537
Ho 0.619 0.649 0.808
Ho 0.656 0.036 0.076
Ho 0.694 0.419 0.346
Ho 0.734 0.810 0.614
Ho 0.805 0.579 0.154
Ho 0.886 0.343 0.694
Ho 0.925 0.735 0.962
Er 0.000 0.500 0.500
Er 0.042 0.887 0.769
Er 0.464 0.115 0.731
Er 0.500 0.500 0.000
Er 0.536 0.885 0.269
Er 0.958 0.113 0.231
Th 0.152 0.038 0.577
Th 0.229 0.805 0.116
Th 0.771 0.195 0.884
Th 0.848 0.962 0.423



Across the entries above, formation enthalpy at 0 K takes the values 0.8 -0.8 0.3 eV per formula unit, respectively.
Across the entries above, energy above the lowest structure with this stoichiometry takes the values 2.00 0.54 0.00 eV per formula unit, respectively.